Record 1
Compound: Li2PdPbAu
Source: Alexandria via LeMat-Bulk
Functional: PBE-GGA
Structure: relaxed

- energy (eV per atom) = -3.439
- DFT formation energy (eV per atom) = -0.238
- ρ (kg/m³) = 9273

abc: 5.470 6.827 5.030
angles: 90.00 90.00 90.00
Space group Pmma (No. 51)
Asymmetric unit:
Li  0.250  0.214  0.190 [4 per cell]
Pd  0.000  0.500  0.000 [2 per cell]
Pb  0.250  0.000  0.696 [2 per cell]
Au  0.250  0.500  0.523 [2 per cell]


Record 2
Compound: SrTb2Ga6
Source: Alexandria via LeMat-Bulk
Functional: PBE-GGA
Structure: relaxed

- energy (eV per atom) = -3.806
- DFT formation energy (eV per atom) = -0.573
- ρ (kg/m³) = 6715

abc: 7.3958 7.3958 4.3004
angles: 90.00 90.00 120.00
Space group P6/mmm (No. 191)
Asymmetric unit:
Sr  0.0000  0.0000  0.0000 [1 per cell]
Tb  0.3333  0.6667  0.0000 [2 per cell]
Ga  0.0000  0.3370  0.5000 [6 per cell]


Record 3
Compound: CsRbH2
Source: Alexandria via LeMat-Bulk
Functional: PBE-GGA
Structure: relaxed

- energy (eV per atom) = -2.053
- ρ (kg/m³) = 2350

abc: 4.5434 4.5434 26.1299
angles: 90.00 90.00 120.00
Space group R-3m (No. 166, hexagonal axes)
Asymmetric unit:
Cs  0.0000  0.0000  0.0000 [3 per cell]
Rb  0.0000  0.0000  0.5000 [3 per cell]
H  0.0000  0.0000  0.1056 [6 per cell]


Record 4
Compound: Ac2BiSb3Rh4
Source: Alexandria via LeMat-Bulk
Functional: PBE-GGA
Structure: relaxed

- energy (eV per atom) = -6.158
- formation energy from raw total energies (eV per atom) = -0.771
- ρ (kg/m³) = 10224

abc: 4.675 4.675 10.700
angles: 90.00 90.00 90.00
Space group P-4m2 (No. 115)
Asymmetric unit:
Ac  0.000  0.500  0.241 [2 per cell]
Bi  0.000  0.000  0.500 [1 per cell]
Sb  0.000  0.500  0.875 [2 per cell]
Sb  0.500  0.500  0.500 [1 per cell]
Rh  0.000  0.000  0.000 [1 per cell]
Rh  0.000  0.500  0.632 [2 per cell]
Rh  0.500  0.500  0.000 [1 per cell]